Compound: RbCuHg2
Source: Alexandria
Functional: PBEsol
Structure: optimized geometry

Computed properties:
space-group type	No. 225
formation energy from the elements	0.25	eV/atom
magnetic moment	0.00	μB per formula unit

```
4
Lattice="-5.0961 0.1416 -1.3495 -3.5158 -2.8854 2.6694 -3.4992 2.3656 3.1577" Properties=species:S:1:pos:R:3 pbc="T T T"
Rb -6.0555 -0.1891 2.2388
Hg -9.0833 -0.2836 3.3582
Hg -3.0278 -0.0945 1.1194
Cu 0.0000 0.0000 0.0000
```

Compound: RbCuHg2W
Source: Alexandria
Functional: PBEsol
Structure: optimized geometry

Computed properties:
space-group type	No. 123
formation energy from the elements	2.30	eV/atom
magnetic moment	5.15	μB per formula unit

```
5
Lattice="5.3929 0.0000 0.0000 0.0000 5.9528 0.0000 0.0000 0.0000 5.9528" Properties=species:S:1:pos:R:3 pbc="T T T"
Rb 0.0000 0.0000 0.0000
Hg 0.0000 0.0000 2.9764
Hg 0.0000 2.9764 0.0000
Cu 2.6965 0.0000 0.0000
W 2.6965 2.9764 2.9764
```

Compound: Cu2ReHg
Source: Alexandria
Functional: PBEsol
Structure: optimized geometry

Computed properties:
space-group type	No. 123
formation energy from the elements	0.34	eV/atom
magnetic moment	0.00	μB per formula unit

```
4
Lattice="2.6950 0.0000 0.0000 0.0000 2.6950 0.0000 0.0000 0.0000 7.9201" Properties=species:S:1:pos:R:3 pbc="T T T"
Hg 1.3475 1.3475 0.0000
Cu 0.0000 0.0000 5.7973
Cu 0.0000 0.0000 2.1229
Re 1.3475 1.3475 3.9601
```

Compound: Cu2ReHg
Source: Alexandria
Functional: PBEsol
Structure: optimized geometry

Computed properties:
space-group type	No. 99
formation energy from the elements	0.43	eV/atom
magnetic moment	0.00	μB per formula unit

```
4
Lattice="-1.6433 1.7151 1.4632 -1.2255 -2.1994 1.2017 4.9423 0.1699 5.3513" Properties=species:S:1:pos:R:3 pbc="T T T"
Hg 2.3876 0.0821 2.5852
Re 2.4508 -0.1086 5.5392
Cu 0.0684 0.0024 0.0741
Cu -0.3622 -0.2052 2.4934
```

Compound: Cu2ReHg
Source: Alexandria
Functional: PBEsol
Structure: optimized geometry

Computed properties:
space-group type	No. 47
formation energy from the elements	0.64	eV/atom
magnetic moment	0.07	μB per formula unit

```
4
Lattice="-2.7030 -0.4486 0.0846 0.6402 -3.2888 3.0152 -0.4130 3.1540 3.5279" Properties=species:S:1:pos:R:3 pbc="T T T"
Cu -1.5580 1.3527 1.8062
Cu 0.0000 0.0000 0.0000
Hg -1.0314 -1.8687 1.5499
Re 0.1136 -0.0674 3.2715
```

Compound: Cu2HgRh
Source: Alexandria
Functional: PBEsol
Structure: optimized geometry

Computed properties:
space-group type	No. 166
formation energy from the elements	0.23	eV/atom
magnetic moment	0.00	μB per formula unit

```
4
Lattice="-1.5313 1.7758 -1.4881 -0.1036 -0.2349 -2.7653 -7.3110 -4.7345 -0.7185" Properties=species:S:1:pos:R:3 pbc="T T T"
Cu -2.1347 -0.7195 -1.2535
Cu -6.8111 -2.4741 -3.7184
Hg -4.4729 -1.5968 -2.4859
Rh 0.0000 0.0000 0.0000
```

Compound: Cu2HgRh
Source: Alexandria
Functional: PBEsol
Structure: optimized geometry

Computed properties:
space-group type	No. 44
formation energy from the elements	0.13	eV/atom
magnetic moment	0.00	μB per formula unit

```
4
Lattice="-2.4070 -1.5160 1.1457 0.8514 -3.2951 -2.5714 3.2782 0.7065 3.7179" Properties=species:S:1:pos:R:3 pbc="T T T"
Cu -0.0186 -1.5632 1.9969
Cu 0.0634 -0.0431 0.0762
Rh 1.7288 -2.5330 0.2804
Hg 2.4494 -1.6644 2.9438
```

Compound: CuHgRh
Source: Alexandria
Functional: PBEsol
Structure: optimized geometry

Computed properties:
space-group type	No. 216
formation energy from the elements	0.49	eV/atom
magnetic moment	0.00	μB per formula unit

```
3
Lattice="4.2421 0.0000 0.0000 2.1211 3.6738 0.0000 2.1211 1.2246 3.4637" Properties=species:S:1:pos:R:3 pbc="T T T"
Cu 0.0000 0.0000 0.0000
Hg 4.2421 2.4492 1.7318
Rh 2.1211 1.2246 0.8659
```

Compound: CuHg3Rh
Source: Alexandria
Functional: PBEsol
Structure: optimized geometry

Computed properties:
space-group type	No. 221
formation energy from the elements	0.82	eV/atom
magnetic moment	0.01	μB per formula unit

```
5
Lattice="4.7603 0.0000 0.0000 0.0000 4.7603 0.0000 0.0000 0.0000 4.7603" Properties=species:S:1:pos:R:3 pbc="T T T"
Hg 0.0000 0.0000 2.3802
Hg 2.3802 0.0000 0.0000
Hg 0.0000 2.3802 0.0000
Rh 2.3802 2.3802 2.3802
Cu 0.0000 0.0000 0.0000
```

Compound: YCuHg2Rh
Source: Alexandria
Functional: PBEsol
Structure: optimized geometry

Computed properties:
space-group type	No. 123
formation energy from the elements	0.29	eV/atom
magnetic moment	0.00	μB per formula unit

```
5
Lattice="-2.6429 4.0586 1.1409 0.9441 -0.7794 4.9597 4.2242 2.8508 -0.3561" Properties=species:S:1:pos:R:3 pbc="T T T"
Rh 0.0000 0.0000 0.0000
Hg 0.4721 -0.3897 2.4799
Hg 2.1121 1.4254 -0.1780
Cu 1.2627 3.0650 2.8723
Y -1.3215 2.0293 0.5705
```

Compound: CuHgRu2
Source: Alexandria
Functional: PBEsol
Structure: optimized geometry

Computed properties:
space-group type	No. 65
formation energy from the elements	0.66	eV/atom
magnetic moment	0.73	μB per formula unit

```
4
Lattice="-1.8153 -1.6030 1.1914 2.0446 -1.1749 -1.3129 4.9954 0.0750 7.7122" Properties=species:S:1:pos:R:3 pbc="T T T"
Ru 1.3507 0.0203 2.0853
Ru 3.6446 0.0548 5.6268
Hg 0.1146 -1.3889 -0.0607
Cu 2.6123 -1.3514 3.7953
```

Compound: Cu2HgRu
Source: Alexandria
Functional: PBEsol
Structure: optimized geometry

Computed properties:
space-group type	No. 65
formation energy from the elements	0.35	eV/atom
magnetic moment	0.00	μB per formula unit

```
4
Lattice="2.6907 0.0000 0.0000 0.0000 4.6648 0.0424 0.0000 -1.4007 4.4497" Properties=species:S:1:pos:R:3 pbc="T T T"
Ru 1.3453 1.6320 2.2460
Cu 0.0000 -0.7004 2.2248
Cu 0.0000 2.3324 0.0212
Hg 1.3453 0.0000 0.0000
```

Compound: CuHgRu2
Source: Alexandria
Functional: PBEsol
Structure: optimized geometry

Computed properties:
space-group type	No. 119
formation energy from the elements	0.49	eV/atom
magnetic moment	0.00	μB per formula unit

```
4
Lattice="3.9038 0.0000 0.0000 0.0000 3.9038 0.0000 -1.9519 -1.9519 3.7760" Properties=species:S:1:pos:R:3 pbc="T T T"
Hg 0.0000 1.9519 1.8880
Ru 0.0000 0.0000 0.0000
Ru 1.9519 0.0000 1.8880
Cu 1.9519 1.9519 0.0000
```

Compound: CuHgRu2
Source: Alexandria
Functional: PBEsol
Structure: optimized geometry

Computed properties:
space-group type	No. 8
formation energy from the elements	0.41	eV/atom
magnetic moment	0.00	μB per formula unit

```
4
Lattice="-1.5027 1.9849 1.2667 -0.0034 -3.6979 2.7109 4.0829 2.0829 1.5797" Properties=species:S:1:pos:R:3 pbc="T T T"
Ru 2.3857 0.2987 5.4422
Ru 2.7888 0.2561 2.9072
Cu 1.2781 2.0116 1.4440
Hg -0.0090 0.2072 2.7446
```

Compound: CuHgRu
Source: Alexandria
Functional: PBEsol
Structure: optimized geometry

Computed properties:
space-group type	No. 216
formation energy from the elements	0.96	eV/atom
magnetic moment	1.02	μB per formula unit

```
3
Lattice="4.2561 0.0000 0.0000 2.1281 3.6859 0.0000 2.1281 1.2286 3.4751" Properties=species:S:1:pos:R:3 pbc="T T T"
Ru 2.1281 1.2286 0.8688
Cu 0.0000 0.0000 0.0000
Hg 4.2561 2.4573 1.7376
```

Compound: Cu2HgRu
Source: Alexandria
Functional: PBEsol
Structure: optimized geometry

Computed properties:
space-group type	No. 123
formation energy from the elements	0.34	eV/atom
magnetic moment	0.00	μB per formula unit

```
4
Lattice="3.5445 0.0000 0.0000 0.0000 3.9648 0.0000 0.0000 0.0000 3.9648" Properties=species:S:1:pos:R:3 pbc="T T T"
Ru 1.7722 0.0000 0.0000
Hg 1.7722 1.9824 1.9824
Cu 0.0000 0.0000 1.9824
Cu 0.0000 1.9824 0.0000
```

Compound: Cu2HgS
Source: Alexandria
Functional: PBEsol
Structure: optimized geometry

Computed properties:
space-group type	No. 122
E_form (uncorrected)	-2	meV per atom
magnetic moment	0.00	μB per formula unit

```
8
Lattice="-1.2795 4.0732 2.7943 1.0108 -2.6095 4.2667 6.0685 1.2607 -3.7177" Properties=species:S:1:pos:R:3 pbc="T T T"
S -0.1343 0.7319 3.5305
S 2.3273 3.0329 1.3035
Cu 1.7784 0.0159 4.1650
Cu 4.6311 0.8360 -1.4274
Cu 0.9200 2.4441 2.8024
Cu 4.2702 2.1528 1.1466
Hg 3.4725 -0.3085 2.0397
Hg 0.0000 0.0000 0.0000
```

Compound: CuHgS2
Source: Alexandria
Functional: PBEsol
Structure: optimized geometry

Computed properties:
space-group type	No. 122
E_form (uncorrected)	-158	meV per atom
magnetic moment	0.00	μB per formula unit

```
8
Lattice="-1.7166 2.3933 4.6860 -4.8851 -2.5563 -0.4839 5.1995 -4.0808 0.7203" Properties=species:S:1:pos:R:3 pbc="T T T"
Cu -3.3008 -0.0815 2.1010
Cu 0.0911 -0.8846 3.7537
S 2.8442 -3.2015 1.0427
S -1.9531 0.0025 3.8781
S -3.6991 -2.2468 1.7347
S 0.0038 -3.0421 3.1893
Hg -1.4932 -3.3593 1.1687
Hg 0.0000 0.0000 0.0000
```

Compound: CuHg2Sb
Source: Alexandria
Functional: PBEsol
Structure: optimized geometry

Computed properties:
space-group type	No. 123
E_form (uncorrected)	184	meV per atom
magnetic moment	0.00	μB per formula unit

```
4
Lattice="-2.7131 -1.2661 0.6120 0.5975 -2.2418 -1.9889 3.6713 -4.7473 6.4541" Properties=species:S:1:pos:R:3 pbc="T T T"
Cu 0.7779 -4.1276 2.5387
Sb -1.0578 -1.7540 -0.6884
Hg 1.1141 -1.4406 1.9585
Hg 2.5572 -3.3067 4.4956
```

Compound: CuHg4Sb
Source: Alexandria
Functional: PBEsol
Structure: optimized geometry

Computed properties:
space-group type	No. 216
E_form (uncorrected)	439	meV per atom
magnetic moment	0.00	μB per formula unit

```
6
Lattice="5.7719 0.0000 0.0000 2.8859 4.9986 0.0000 2.8859 1.6662 4.7127" Properties=species:S:1:pos:R:3 pbc="T T T"
Hg 5.7719 5.0028 1.7658
Hg 7.2185 2.4972 1.7658
Hg 5.7719 3.3324 4.1281
Hg 4.3252 2.4972 1.7658
Sb 8.6578 4.9986 3.5345
Cu 0.0000 0.0000 0.0000
```

Compound: CuHg2Sb
Source: Alexandria
Functional: PBEsol
Structure: optimized geometry

Computed properties:
space-group type	No. 139
E_form (uncorrected)	265	meV per atom
magnetic moment	0.00	μB per formula unit

```
4
Lattice="4.1974 0.0000 0.0000 0.0000 4.1974 0.0000 -2.0987 -2.0987 4.6449" Properties=species:S:1:pos:R:3 pbc="T T T"
Hg 0.0000 2.0987 2.3224
Hg 2.0987 0.0000 2.3224
Cu 0.0000 0.0000 0.0000
Sb 2.0987 2.0987 0.0000
```

Compound: CuHg2Sb
Source: Alexandria
Functional: PBEsol
Structure: optimized geometry

Computed properties:
space-group type	No. 71
E_form (uncorrected)	196	meV per atom
magnetic moment	0.00	μB per formula unit

```
4
Lattice="3.0227 0.0000 0.0000 0.0000 5.2052 0.0000 -1.5113 -2.6026 5.2530" Properties=species:S:1:pos:R:3 pbc="T T T"
Cu 0.0000 2.6026 0.0000
Hg 0.0000 0.0000 3.0205
Hg 1.5113 2.6026 2.2325
Sb 1.5113 0.0000 0.0000
```

Compound: CuHgSb2
Source: Alexandria
Functional: PBEsol
Structure: optimized geometry

Computed properties:
space-group type	No. 12
E_form (uncorrected)	76	meV per atom
magnetic moment	0.00	μB per formula unit

```
4
Lattice="3.9840 0.0436 0.0006 1.9922 3.4504 0.0006 1.8377 1.0744 6.7282" Properties=species:S:1:pos:R:3 pbc="T T T"
Sb 4.9132 2.8725 2.0898
Sb 2.9007 1.6959 4.6397
Hg 2.9881 1.7470 0.0006
Cu 0.9188 0.5372 3.3641
```

Compound: CuHg2Sb
Source: Alexandria
Functional: PBEsol
Structure: optimized geometry

Computed properties:
space-group type	No. 216
E_form (uncorrected)	318	meV per atom
magnetic moment	0.00	μB per formula unit

```
4
Lattice="-0.6216 -1.6171 4.5851 -0.5868 -4.7913 0.8505 3.5584 -2.5520 2.2022" Properties=species:S:1:pos:R:3 pbc="T T T"
Sb 0.5875 -2.2401 1.9094
Cu 1.1750 -4.4802 3.8189
Hg 0.0000 0.0000 0.0000
Hg 1.7625 -6.7204 5.7283
```

Compound: CuHg2Sb
Source: Alexandria
Functional: PBEsol
Structure: optimized geometry

Computed properties:
space-group type	No. 12
E_form (uncorrected)	166	meV per atom
magnetic moment	0.00	μB per formula unit

```
4
Lattice="3.1121 0.0000 0.0000 0.0000 4.3259 -0.1122 -1.5560 -1.0185 6.5152" Properties=species:S:1:pos:R:3 pbc="T T T"
Sb 1.5560 0.0000 0.0000
Hg 1.5560 2.6605 2.4132
Hg 0.0000 0.6469 3.9898
Cu 0.0000 2.1629 -0.0561
```

Compound: CuHgSb2
Source: Alexandria
Functional: PBEsol
Structure: optimized geometry

Computed properties:
space-group type	No. 123
E_form (uncorrected)	330	meV per atom
magnetic moment	0.00	μB per formula unit

```
4
Lattice="-3.8023 1.5463 0.3741 -0.8092 -2.8416 3.5204 1.5786 3.1741 2.9250" Properties=species:S:1:pos:R:3 pbc="T T T"
Sb 0.7893 1.5871 1.4625
Sb -0.4046 -1.4208 1.7602
Hg -1.9012 0.7731 0.1871
Cu -1.5165 0.9394 3.4098
```

Compound: Sc2CuHg
Source: Alexandria
Functional: PBEsol
Structure: optimized geometry

Computed properties:
space-group type	No. 123
formation energy from the elements	-0.36	eV/atom
magnetic moment	0.00	μB per formula unit

```
4
Lattice="-1.2944 1.0298 2.9466 2.5836 -3.2444 2.2689 3.5206 3.1220 0.4555" Properties=species:S:1:pos:R:3 pbc="T T T"
Cu 2.4049 0.4537 2.8355
Hg -0.6472 0.5149 1.4733
Sc 1.2918 -1.6222 1.1344
Sc 1.7603 1.5610 0.2277
```

Compound: Sc2CuHg
Source: Alexandria
Functional: PBEsol
Structure: optimized geometry

Computed properties:
space-group type	No. 160
formation energy from the elements	-0.02	eV/atom
magnetic moment	0.78	μB per formula unit

```
4
Lattice="-0.8590 -0.5981 3.1008 -1.6303 -2.7375 0.7474 6.7574 -5.2757 2.5815" Properties=species:S:1:pos:R:3 pbc="T T T"
Sc -2.4009 -3.3841 3.8633
Sc 2.9412 -6.3159 4.7778
Hg 1.2686 -2.2635 1.6419
Cu 2.1038 -4.2891 3.2097
```

Compound: ScCuHg2
Source: Alexandria
Functional: PBEsol
Structure: optimized geometry

Computed properties:
space-group type	No. 166
formation energy from the elements	-0.08	eV/atom
magnetic moment	0.00	μB per formula unit

```
4
Lattice="3.3554 0.0000 0.0000 1.6777 2.9059 0.0000 1.6777 0.9686 8.0825" Properties=species:S:1:pos:R:3 pbc="T T T"
Cu 0.0000 0.0000 0.0000
Hg 1.6777 0.9686 1.8353
Hg 5.0331 2.9059 6.2472
Sc 3.3554 1.9372 4.0413
```

Compound: ScCuHg2
Source: Alexandria
Functional: PBEsol
Structure: optimized geometry

Computed properties:
space-group type	No. 99
formation energy from the elements	-0.19	eV/atom
magnetic moment	0.00	μB per formula unit

```
4
Lattice="3.3539 0.0000 0.0000 0.0000 3.3539 0.0000 0.0000 0.0000 6.6254" Properties=species:S:1:pos:R:3 pbc="T T T"
Hg 0.0000 0.0000 6.4009
Hg 1.6769 1.6769 1.7369
Sc 0.0000 0.0000 3.4770
Cu 1.6769 1.6769 4.9487
```